The following is a SCAN calculation of a PBEsol-optimized structure of BeCdO2, from Alexandria.

Lattice parameters (Å, degrees): 3.4413 3.4413 15.7416 90.00 90.00 120.00
Space group R-3m (No. 166, hexagonal axes)
One atom of each set of equivalent atoms:
Be 0.0000 0.0000 0.0000 [3 per cell]
Cd 0.0000 0.0000 0.5000 [3 per cell]
O 0.0000 0.0000 0.0916 [6 per cell]

## Properties
formation energy (no corrections) = -1743 meV per atom
DOS at the Fermi energy = 0.00 states/eV/atom
spin magnetization = 0.000 μB/atom
E = -0.996 Ry/atom
volume = 161 Å³ per cell